[1]
Density functional theory data (SCAN) for a crystal of FeBiMoSe2 relaxed with PBEsol.

abc: 4.5854 4.8628 4.8628
angles: 90.00 90.00 90.00
Fractional coordinates of all 5 atoms:
1 Mo 0.0000 0.0000 0.0000
2 Bi 0.5000 0.5000 0.5000
3 Se 0.0000 0.0000 0.5000
4 Se 0.0000 0.5000 0.0000
5 Fe 0.5000 0.0000 0.0000

Calculated values
- formation energy (no corrections) (eV per atom) = 0.6536
- calculated density (g cm⁻³) = 7.9
- DOS(E_F) (states/eV per atom) = 0.722
- crystal system = tetragonal

***

[2]
Density functional theory data (SCAN) for a crystal of FeBi2N relaxed with PBEsol.

abc: 4.6511 4.6511 4.6511
angles: 60.00 60.00 60.00
Fractional coordinates of all 4 atoms:
1 N 0.0000 0.0000 0.0000
2 Bi 0.2500 0.2500 0.2500
3 Bi 0.7500 0.7500 0.7500
4 Fe 0.5000 0.5000 0.5000

Calculated values
- formation energy (no corrections) (eV per atom) = 1.2799
- calculated density (g cm⁻³) = 11.4
- DOS(E_F) (states/eV per atom) = 0.866
- crystal system = cubic